[1]
## Ga3Ag7Hg (PBE)

Data for a geometry-optimized Ga3Ag7Hg structure.

Summary:
Raw total energy: -2.560 eV per atom
Total magnetization: 0.00 μB/cell

Unit cell a=8.907 b=9.703 c=5.560 alpha=90.00 beta=115.42 gamma=90.00
Space group C2/m (No. 12)
Asymmetric unit:
Ga 0.000 0.000 0.000 x2
Ga 0.000 0.225 0.500 x4
Ag 0.000 0.500 0.500 x2
Ag 0.181 0.230 0.187 x8
Ag 0.186 0.000 0.542 x4
Hg 0.000 0.500 0.000 x2

[2]
## ReSi2Sb (PBE)

Data for a geometry-optimized ReSi2Sb structure.

Summary:
Uncorrected formation energy: 0.2076 eV/atom
Raw total energy: -6.647 eV per atom
Total magnetization: 0.00 μB/cell

Unit cell a=3.130 b=3.130 c=7.535 alpha=90.00 beta=90.00 gamma=90.00
Space group P4mm (No. 99)
Asymmetric unit:
Re 0.000 0.000 0.000 x1
Si 0.000 0.000 0.657 x1
Si 0.500 0.500 0.841 x1
Sb 0.500 0.500 0.256 x1

[3]
## La2Al5Ag4 (PBE)

Data for a geometry-optimized La2Al5Ag4 structure.

Summary:
Energy relative to the lowest polymorph listed for this composition: 0.05 eV/f.u.
Raw total energy: -3.946 eV per atom
Total magnetization: 0.00 μB/cell

Unit cell a=5.583 b=9.766 c=17.282 alpha=90.00 beta=90.00 gamma=90.00
Space group Fmmm (No. 69)
Asymmetric unit:
La 0.000 0.000 0.118 x8
Al 0.000 0.000 0.500 x4
Al 0.250 0.250 0.000 x8
Al 0.250 0.250 0.250 x8
Ag 0.000 0.162 0.369 x16

[4]
## CsNa4Cd4 (PBE)

Data for a geometry-optimized CsNa4Cd4 structure.

Summary:
Raw total energy: -1.092 eV per atom
Total magnetization: 0.00 μB/cell

Unit cell a=11.371 b=11.371 c=5.320 alpha=90.00 beta=90.00 gamma=90.00
Space group I4/m (No. 87)
Asymmetric unit:
Cs 0.000 0.000 0.000 x2
Na 0.069 0.634 0.500 x8
Cd 0.203 0.289 0.500 x8

[5]
## Cu2AgSe (PBE)

Data for a geometry-optimized Cu2AgSe structure.

Summary:
Uncorrected formation energy: 0.1167 eV/atom
Raw total energy: -3.515 eV per atom
Total magnetization: 0.00 μB/cell

Unit cell a=4.080 b=4.080 c=3.728 alpha=90.00 beta=90.00 gamma=90.00
Space group P4/mmm (No. 123)
Asymmetric unit:
Cu 0.000 0.500 0.000 x2
Ag 0.000 0.000 0.500 x1
Se 0.500 0.500 0.500 x1

[6]
## HfNbZn (PBE)

Data for a geometry-optimized HfNbZn structure.

Summary:
Energy relative to the lowest polymorph listed for this composition: 0.07 eV/f.u.
Raw total energy: -7.150 eV per atom
Total magnetization: 0.00 μB/cell

Unit cell a=3.413 b=17.766 c=3.686 alpha=90.00 beta=90.00 gamma=90.00
Space group Cmcm (No. 63)
Asymmetric unit:
Hf 0.000 0.115 0.250 x4
Nb 0.000 0.292 0.250 x4
Zn 0.000 0.456 0.250 x4

[7]
## CsK2ICl4 (PBE)

Data for a geometry-optimized CsK2ICl4 structure.

Summary:
Uncorrected formation energy: -1.4747 eV/atom
Raw total energy: -2.973 eV per atom
Total magnetization: 0.00 μB/cell

Unit cell a=12.508 b=14.619 c=9.141 alpha=90.00 beta=130.36 gamma=90.00
Space group C2/c (No. 15)
Asymmetric unit:
Cs 0.000 0.000 0.000 x4
K 0.000 0.500 0.000 x4
K 0.250 0.250 0.000 x4
I 0.250 0.250 0.500 x4
Cl 0.072 0.261 0.555 x8
Cl 0.232 0.456 0.989 x8

[8]
## Na2Zn2RuO6 (PBE)

Data for a geometry-optimized Na2Zn2RuO6 structure.

Summary:
Uncorrected formation energy: -1.2112 eV/atom
Raw total energy: -5.230 eV per atom
Total magnetization: 2.93 μB/cell

Unit cell a=5.430 b=9.071 c=5.787 alpha=90.00 beta=109.50 gamma=90.00
Space group C2/m (No. 12)
Asymmetric unit:
Na 0.000 0.175 0.000 x4
Zn 0.000 0.338 0.500 x4
Ru 0.000 0.000 0.500 x2
O 0.219 0.157 0.696 x8
O 0.236 0.000 0.305 x4

[9]
## DyErPb (PBE)

Data for a geometry-optimized DyErPb structure.

Summary:
Energy relative to the lowest polymorph listed for this composition: 0.46 eV/f.u.
Raw total energy: -4.553 eV per atom
Total magnetization: 2.81 μB/cell

Unit cell a=3.923 b=3.923 c=11.384 alpha=90.00 beta=90.00 gamma=90.00
Space group I4mm (No. 107)
Asymmetric unit:
Dy 0.000 0.000 0.000 x2
Er 0.000 0.000 0.687 x2
Pb 0.000 0.000 0.341 x2

[10]
## SmDy3As4 (PBE)

Data for a geometry-optimized SmDy3As4 structure.

Summary:
Raw total energy: -6.174 eV per atom
Total magnetization: 0.00 μB/cell

Unit cell a=5.857 b=5.857 c=5.857 alpha=90.00 beta=90.00 gamma=90.00
Space group Pm-3m (No. 221)
Asymmetric unit:
Sm 0.000 0.000 0.000 x1
Dy 0.000 0.500 0.500 x3
As 0.000 0.000 0.500 x3
As 0.500 0.500 0.500 x1

[11]
## CoRe2Rh (PBE)

Data for a geometry-optimized CoRe2Rh structure.

Summary:
Energy relative to the lowest polymorph listed for this composition: 0.00 eV/f.u.
Raw total energy: -9.929 eV per atom
Total magnetization: 0.09 μB/cell

Unit cell a=2.677 b=4.292 c=4.730 alpha=90.00 beta=90.00 gamma=90.00
Space group Pmm2 (No. 25)
Asymmetric unit:
Co 0.000 0.000 0.000 x1
Re 0.500 0.000 0.509 x1
Re 0.500 0.500 0.838 x1
Rh 0.000 0.500 0.322 x1

[12]
## Rb2TcIN (PBE)

Data for a geometry-optimized Rb2TcIN structure.

Summary:
Uncorrected formation energy: -0.0689 eV/atom
Raw total energy: -4.504 eV per atom
Total magnetization: 2.43 μB/cell

Unit cell a=6.491 b=6.491 c=3.871 alpha=90.00 beta=90.00 gamma=90.00
Space group P4/mmm (No. 123)
Asymmetric unit:
Rb 0.000 0.500 0.000 x2
Tc 0.000 0.000 0.500 x1
I 0.500 0.500 0.500 x1
N 0.000 0.000 0.000 x1